1.
Computed, not measured: an optimized crystal structure of HfP2Br2 at the PBE level of DFT.

N(E_F), states/eV/atom: 0.41
M_tot, μB per cell: 4.0
Raw total energy, eV/atom: -4.68

a b c (Å): 7.235 7.235 7.067
angles (deg): 90.00 90.00 90.00
Positions (direct):
1 Hf 0.000 0.000 0.000
2 Hf 0.500 0.500 0.000
3 P 0.094 0.406 0.500
4 P 0.406 0.906 0.500
5 P 0.594 0.094 0.500
6 P 0.906 0.594 0.500
7 Br 0.196 0.696 0.000
8 Br 0.304 0.196 0.000
9 Br 0.696 0.804 0.000
10 Br 0.804 0.304 0.000



2.
Computed, not measured: an optimized crystal structure of Pr2YP at the PBE level of DFT.

N(E_F), states/eV/atom: 1.43
M_tot, μB per cell: 3.3
Formation enthalpy at 0 K, kJ/mol of atoms: -58

a b c (Å): 3.962 3.962 28.861
angles (deg): 90.00 90.00 120.00
Positions (direct):
1 Pr 0.000 0.000 0.226
2 Pr 0.000 0.000 0.774
3 Pr 0.333 0.667 0.440
4 Pr 0.333 0.667 0.893
5 Pr 0.667 0.333 0.107
6 Pr 0.667 0.333 0.560
7 Y 0.000 0.000 0.000
8 Y 0.333 0.667 0.667
9 Y 0.667 0.333 0.333
10 P 0.000 0.000 0.500
11 P 0.333 0.667 0.167
12 P 0.667 0.333 0.833



3.
Computed, not measured: an optimized crystal structure of LaSbCl2 at the PBE level of DFT.

N(E_F), states/eV/atom: 0.59
M_tot, μB per cell: 0.0
Raw total energy, eV/atom: -4.10

a b c (Å): 6.637 8.824 3.529
angles (deg): 90.00 90.00 90.00
Positions (direct):
1 La 0.000 0.000 0.000
2 La 0.500 0.500 0.000
3 Sb 0.000 0.500 0.000
4 Sb 0.500 0.000 0.000
5 Cl 0.250 0.250 0.500
6 Cl 0.250 0.750 0.500
7 Cl 0.750 0.250 0.500
8 Cl 0.750 0.750 0.500



4.
Computed, not measured: an optimized crystal structure of PmAl11Os at the PBE level of DFT.

N(E_F), states/eV/atom: 0.43
M_tot, μB per cell: 0.0
Formation enthalpy at 0 K, kJ/mol of atoms: -23

a b c (Å): 6.840 6.840 7.199
angles (deg): 97.71 97.71 134.94
Positions (direct):
1 Pm 0.000 0.000 0.000
2 Al 0.000 0.000 0.500
3 Al 0.000 0.500 0.000
4 Al 0.017 0.364 0.360
5 Al 0.282 0.500 0.773
6 Al 0.364 0.017 0.360
7 Al 0.500 0.000 0.000
8 Al 0.500 0.282 0.773
9 Al 0.500 0.718 0.227
10 Al 0.636 0.983 0.640
11 Al 0.718 0.500 0.227
12 Al 0.983 0.636 0.640
13 Os 0.500 0.500 0.500



5.
Computed, not measured: an optimized crystal structure of YHSCl2 at the PBE level of DFT.

N(E_F), states/eV/atom: 0.14
M_tot, μB per cell: 0.0
Raw total energy, eV/atom: -4.18

a b c (Å): 4.095 4.095 5.289
angles (deg): 90.00 90.00 90.00
Positions (direct):
1 Y 0.000 0.000 0.000
2 H 0.500 0.500 0.500
3 S 0.500 0.500 0.000
4 Cl 0.000 0.500 0.500
5 Cl 0.500 0.000 0.500



6.
Computed, not measured: an optimized crystal structure of LaNd2Sm4Tm at the PBE level of DFT.

N(E_F), states/eV/atom: 2.43
M_tot, μB per cell: 0.1
Formation enthalpy at 0 K, kJ/mol of atoms: 36

a b c (Å): 9.631 9.631 9.631
angles (deg): 137.96 103.37 91.49
Positions (direct):
1 La 0.000 0.000 0.000
2 La 0.500 0.000 0.500
3 Nd 0.000 0.500 0.500
4 Nd 0.500 0.000 0.000
5 Nd 0.500 0.500 0.000
6 Nd 0.500 0.500 0.500
7 Sm 0.243 0.244 0.501
8 Sm 0.243 0.742 0.999
9 Sm 0.245 0.250 0.995
10 Sm 0.245 0.750 0.495
11 Sm 0.755 0.250 0.505
12 Sm 0.755 0.750 0.005
13 Sm 0.757 0.258 0.001
14 Sm 0.757 0.756 0.499
15 Tm 0.000 0.000 0.500
16 Tm 0.000 0.500 0.000